{"formula": "OsW2I", "functional": "PBE", "state": "relaxed", "lattice": [[-0.2720, -5.5231, 2.1707], [4.9825, -1.3929, -2.9198], [5.5031, -1.8107, 4.2111]], "species": ["I", "I", "Os", "Os", "W", "W", "W", "W"], "frac_coords": [[0.5000, 0.5000, 0.0000], [0.2500, 0.7500, 0.5000], [0.0000, 0.0000, 0.0000], [0.7500, 0.2500, 0.5000], [0.6623, 0.1250, 0.2500], [0.0877, 0.6250, 0.2500], [0.3750, 0.3377, 0.7500], [0.8750, 0.9123, 0.7500]], "density_g_cm3": 11.11, "sg": "I-42d", "polymorph_energy_kj_per_mol_fu": 156, "e_form_raw_ev_per_fu": 6.44, "magmom_total_mub_per_cell": 0.0}